First-principles (PBE+U) data for crystalline Li2FeF4 at its relaxed geometry, as listed in Alexandria via LeMat-Bulk.

a b c (Å): 5.9253 5.3175 5.4003
angles (deg): 90.00 113.94 90.00
With the nearest neighbours (Å) after each atom.
Space group P2_1/c (No. 14)
Asymmetric unit:
Li: 0.1550 0.0369 0.3764 (multiplicity 4)  4 F 1.91-1.98
Fe: 0.5000 0.0000 0.0000 (multiplicity 2)  6 F 2.05-2.16
F: 0.1527 0.1370 0.7293 (multiplicity 4)  3 Li 1.91-1.98, 1 Fe 2.11
F: 0.3747 0.6580 0.7676 (multiplicity 4)  1 Li 1.93, 2 Fe 2.05-2.16

Calculated values
Electronic total energy = -72.04 eV per cell
Offset from the most stable computed form = 0.006 eV/atom